No. 1
Be3CdAs after structural relaxation, computed with GGA-PBE.

Values from the calculation:
Its formation energy is 18.72 kcal/mol of atoms. The calculation puts the uncorrected energy at -2.54 eV per atom. The density of states at the Fermi level comes out at 2.0 states/eV/cell. The calculation puts the polymorph energy (0 for the lowest one) at 0.00 kcal/mol of atoms.

Cell: 4.3607 4.3607 4.3607 Å, 90.00 90.00 90.00°
With the nearest neighbours (Å) after each atom.
Positions (direct):
Be1 0.0000 0.0000 0.5000  2 As 2.18
Be2 0.0000 0.5000 0.0000  2 As 2.18
Be3 0.5000 0.0000 0.0000  2 As 2.18
As1 0.0000 0.0000 0.0000  6 Be 2.18
Cd1 0.5000 0.5000 0.5000  12 Be 3.08


No. 2
BeCdAs3 after structural relaxation, computed with GGA-PBE.

Values from the calculation:
Its formation energy is 10.88 kcal/mol of atoms. The calculation puts the uncorrected energy at -3.25 eV per atom. The density of states at the Fermi level comes out at 3.9 states/eV/cell. The calculation puts the polymorph energy (0 for the lowest one) at 0.00 kcal/mol of atoms.

Cell: 4.5940 4.5940 4.5940 Å, 90.00 90.00 90.00°
With the nearest neighbours (Å) after each atom.
Positions (direct):
As1 0.0000 0.5000 0.0000  2 Be 2.30
As2 0.5000 0.0000 0.0000  2 Be 2.30
As3 0.0000 0.0000 0.5000  2 Be 2.30
Cd1 0.5000 0.5000 0.5000  12 As 3.25
Be1 0.0000 0.0000 0.0000  6 As 2.30


No. 3
Be3CdAs3 after structural relaxation, computed with GGA-PBE.

Values from the calculation:
Its formation energy is -1.08 kcal/mol of atoms. The calculation puts the uncorrected energy at -3.77 eV per atom. The density of states at the Fermi level comes out at 4.1 states/eV/cell.

Cell: 6.4053 6.4053 7.8686 Å, 65.98 65.98 60.00°
With the nearest neighbours (Å) after each atom.
Positions (direct):
As1 0.7629 0.4229 0.7275  4 Be 2.26-2.33
As2 0.0867 0.7629 0.7275  4 Be 2.26-2.33
As3 0.2371 0.5771 0.2725  4 Be 2.26-2.33
As4 0.4229 0.0867 0.7275  4 Be 2.26-2.33
As5 0.5771 0.9133 0.2725  4 Be 2.26-2.33
As6 0.9133 0.2371 0.2725  4 Be 2.26-2.33
Be1 0.8613 0.5333 0.4022  4 As 2.26-2.33, 2 Be 2.51
Be2 0.2031 0.8613 0.4022  4 As 2.26-2.33, 2 Be 2.51
Be3 0.1387 0.4667 0.5978  4 As 2.26-2.33, 2 Be 2.51
Be4 0.5333 0.2031 0.4022  4 As 2.26-2.33, 2 Be 2.51
Be5 0.4667 0.7969 0.5978  4 As 2.26-2.33, 2 Be 2.51
Be6 0.7969 0.1387 0.5978  4 As 2.26-2.33, 2 Be 2.51
Cd1 0.6659 0.6659 0.0024  6 As 2.86-2.87
Cd2 0.3341 0.3341 0.9976  6 As 2.86-2.87


No. 4
Be2CdAs2 after structural relaxation, computed with GGA-PBE.

Values from the calculation:
Its formation energy is 1.37 kcal/mol of atoms. The calculation puts the uncorrected energy at -3.47 eV per atom. The density of states at the Fermi level comes out at 2.7 states/eV/cell.

Cell: 3.5642 3.5642 7.2995 Å, 75.87 75.87 90.00°
With the nearest neighbours (Å) after each atom.
Positions (direct):
As1 0.6421 0.6421 0.7158  4 Be 2.32
As2 0.3579 0.3579 0.2842  4 Be 2.32
Cd1 0.0000 0.0000 0.0000  8 As 3.18, 4 Cd 3.56
Be1 0.2500 0.7500 0.5000  4 As 2.32, 4 Be 2.52
Be2 0.7500 0.2500 0.5000  4 As 2.32, 4 Be 2.52


No. 5
Be2Cd2As after structural relaxation, computed with GGA-PBE.

Values from the calculation:
Its formation energy is 9.70 kcal/mol of atoms. The calculation puts the uncorrected energy at -2.37 eV per atom. The density of states at the Fermi level comes out at 1.1 states/eV/cell. The calculation puts the polymorph energy (0 for the lowest one) at 0.00 kcal/mol of atoms.

Cell: 3.1315 3.1315 8.8360 Å, 79.79 79.79 90.00°
With the nearest neighbours (Å) after each atom.
Positions (direct):
Be1 0.7500 0.2500 0.5000  4 Be 2.21
Be2 0.2500 0.7500 0.5000  4 Be 2.21
Cd1 0.3765 0.3765 0.2469  4 Be 2.67
Cd2 0.6235 0.6235 0.7531  4 Be 2.67
As1 0.0000 0.0000 0.0000  8 Cd 3.06, 4 As 3.13


No. 6
BeCd4As after structural relaxation, computed with GGA-PBE.

Values from the calculation:
Its formation energy is 12.93 kcal/mol of atoms. The calculation puts the uncorrected energy at -1.45 eV per atom. The density of states at the Fermi level comes out at 1.4 states/eV/cell.

Cell: 5.6833 5.6833 5.6833 Å, 60.00 60.00 60.00°
With the nearest neighbours (Å) after each atom.
Positions (direct):
As1 0.7500 0.7500 0.7500  12 Cd 3.33, 4 Be 3.48
Cd1 0.3749 0.8753 0.3749  6 Cd 2.84
Cd2 0.8753 0.3749 0.3749  6 Cd 2.84
Cd3 0.3749 0.3749 0.3749  6 Cd 2.84
Cd4 0.3749 0.3749 0.8753  6 Cd 2.84
Be1 0.0000 0.0000 0.0000  12 Cd 3.33, 4 As 3.48


No. 7
BeCd2FeAs after structural relaxation, computed with GGA-PBE.

Values from the calculation:
Its formation energy is 19.97 kcal/mol of atoms. The calculation puts the uncorrected energy at -2.87 eV per atom. The density of states at the Fermi level comes out at 4.0 states/eV/cell.

Cell: 4.9721 4.1831 4.9721 Å, 90.00 90.00 90.00°
With the nearest neighbours (Å) after each atom.
Positions (direct):
Cd1 0.5000 0.0000 0.0000  2 Fe 2.49
Cd2 0.0000 0.0000 0.5000  2 Fe 2.49
Be1 0.0000 0.5000 0.0000  2 Fe 2.09
As1 0.5000 0.5000 0.5000  8 Cd 3.25, 4 Be 3.52
Fe1 0.0000 0.0000 0.0000  2 Be 2.09


No. 8
KBeCdAs2 after structural relaxation, computed with GGA-PBE.

Values from the calculation:
Its formation energy is 3.19 kcal/mol of atoms. The calculation puts the uncorrected energy at -2.87 eV per atom. The density of states at the Fermi level comes out at 2.4 states/eV/cell.

Cell: 4.7033 5.1344 4.7033 Å, 90.00 90.00 90.00°
With the nearest neighbours (Å) after each atom.
Positions (direct):
Cd1 0.0000 0.5000 0.0000  2 Be 2.57
As1 0.5000 0.0000 0.0000  2 Be 2.35
As2 0.0000 0.0000 0.5000  2 Be 2.35
Be1 0.0000 0.0000 0.0000  4 As 2.35, 2 Cd 2.57
K1 0.5000 0.5000 0.5000  4 Cd 3.33, 8 As 3.48


No. 9
NaBe2CdAs after structural relaxation, computed with GGA-PBE.

Values from the calculation:
Its formation energy is 18.02 kcal/mol of atoms. The calculation puts the uncorrected energy at -2.09 eV per atom. The density of states at the Fermi level comes out at 2.0 states/eV/cell.

Cell: 4.5449 5.4165 4.5449 Å, 90.00 90.00 90.00°
With the nearest neighbours (Å) after each atom.
Positions (direct):
Cd1 0.0000 0.0000 0.0000  4 Be 2.27
Be1 0.5000 0.0000 0.0000  2 Cd 2.27
Be2 0.0000 0.0000 0.5000  2 Cd 2.27
Na1 0.5000 0.5000 0.5000  4 As 3.21, 8 Be 3.54
As1 0.0000 0.5000 0.0000  2 Cd 2.71


No. 10
NaBeCdAs2 after structural relaxation, computed with GGA-PBE.

Values from the calculation:
Its formation energy is -4.00 kcal/mol of atoms. The calculation puts the uncorrected energy at -3.23 eV per atom. The density of states at the Fermi level comes out at 1.6 states/eV/cell.

Cell: 4.0765 6.7189 9.1619 Å, 63.75 77.15 72.34°
With the nearest neighbours (Å) after each atom.
Positions (direct):
Cd1 0.6206 0.6700 0.0889  4 As 2.66-2.86
Cd2 0.3794 0.3300 0.9111  4 As 2.66-2.86
As1 0.1633 0.7929 0.8806  1 Be 2.18
As2 0.5478 0.2966 0.6079  2 Be 2.28, 1 As 2.54
As3 0.8367 0.2071 0.1194  1 Be 2.18
As4 0.4522 0.7034 0.3921  2 Be 2.28, 1 As 2.54
Na1 0.7977 0.7512 0.6534  4 As 2.96-3.21, 1 Be 3.10
Na2 0.2023 0.2488 0.3466  4 As 2.96-3.21, 1 Be 3.10
Be1 0.0651 0.1540 0.7157  3 As 2.18-2.28
Be2 0.9349 0.8460 0.2843  3 As 2.18-2.28


No. 11
Be2CdAsO6 after structural relaxation, computed with GGA-PBE.

Values from the calculation:
The calculation puts the uncorrected energy at -5.81 eV per atom. The calculation puts the uncorrected formation energy at -1.529 eV/atom.

Cell: 5.7348 6.9162 6.9162 Å, 92.01 70.26 70.26°
With the nearest neighbours (Å) after each atom.
Positions (direct):
O1 0.7065 0.7855 0.9629  1 As 1.76, 1 Be 1.80
O2 0.4416 0.8166 0.3685  1 As 1.71, 1 Be 1.71
O3 0.7935 0.0371 0.2145  1 As 1.76, 1 Be 1.80
O4 0.2065 0.9629 0.7855  1 As 1.76, 1 Be 1.80
O5 0.8303 0.3713 0.3596  2 Be 1.58
O6 0.2935 0.2145 0.0371  1 As 1.76, 1 Be 1.80
O7 0.0584 0.6315 0.1834  1 As 1.71, 1 Be 1.71
O8 0.6697 0.6404 0.6287  2 Be 1.58
O9 0.9416 0.3685 0.8166  1 As 1.71, 1 Be 1.71
O10 0.1697 0.6287 0.6404  2 Be 1.58
O11 0.5584 0.1834 0.6315  1 As 1.71, 1 Be 1.71
O12 0.3303 0.3596 0.3713  2 Be 1.58
Cd1 0.2500 0.8810 0.1190  6 O 2.31-2.47
Cd2 0.7500 0.1190 0.8810  6 O 2.31-2.47
Be1 0.8928 0.6001 0.7250  3 O 1.58-1.71
Be2 0.3928 0.7250 0.6001  3 O 1.58-1.71
Be3 0.1072 0.3999 0.2750  3 O 1.58-1.71
Be4 0.6072 0.2750 0.3999  3 O 1.58-1.71
As1 0.2500 0.2022 0.7978  4 O 1.71-1.76
As2 0.7500 0.7978 0.2022  4 O 1.71-1.76


No. 12
Be4CdAs3O12 after structural relaxation, computed with GGA-PBE.

Values from the calculation:
The calculation puts the uncorrected energy at -6.10 eV per atom. The density of states at the Fermi level comes out at 3.7 states/eV/cell. The calculation puts the uncorrected formation energy at -1.636 eV/atom.

Cell: 6.1794 6.1794 6.1794 Å, 105.85 105.85 105.85°
With the nearest neighbours (Å) after each atom.
Positions (direct):
O1 0.7617 0.0297 0.6363  1 Be 1.55
O2 0.2383 0.3637 0.9703  1 Be 1.55
O3 0.5000 0.0968 0.9032  1 Be 1.58
O4 0.5000 0.3414 0.6586  1 Be 1.56
O5 0.0297 0.6363 0.7617  1 Be 1.55
O6 0.9032 0.5000 0.0968  1 Be 1.58
O7 0.3637 0.9703 0.2383  1 Be 1.55
O8 0.3414 0.6586 0.5000  1 Be 1.56
O9 0.6363 0.7617 0.0297  1 Be 1.55
O10 0.9703 0.2383 0.3637  1 Be 1.55
O11 0.0968 0.9032 0.5000  1 Be 1.58
O12 0.6586 0.5000 0.3414  1 Be 1.56
Be1 0.5000 0.5000 0.5000  3 O 1.56
Be2 0.0635 0.5000 0.9365  3 O 1.55-1.58
Be3 0.9365 0.0635 0.5000  3 O 1.55-1.58
Be4 0.5000 0.9365 0.0635  3 O 1.55-1.58
Cd1 0.0000 0.0000 0.0000  6 O 2.41
As1 0.4440 0.0000 0.5560  6 O 1.83-1.97
As2 0.5560 0.4440 0.0000  6 O 1.83-1.97
As3 0.0000 0.5560 0.4440  6 O 1.83-1.97